Version one
Compound: NbCuSnOs
Source: Alexandria
Functional: GGA-PBE
Structure: relaxed

Cell: 4.5261 4.5261 4.5261 Å, 60.00 60.00 60.00°
With the nearest neighbours (Å) after each atom.
Positions (direct):
Cu1 0.5000 0.5000 0.5000  4 Nb 2.77, 4 Sn 2.77
Nb1 0.7500 0.7500 0.7500  4 Os 2.77, 4 Cu 2.77
Sn1 0.2500 0.2500 0.2500  4 Os 2.77, 4 Cu 2.77
Os1 0.0000 0.0000 0.0000  4 Nb 2.77, 4 Sn 2.77

total magnetization: 0.0 μB/f.u.
SG: F-43m (216)



Version two
Compound: NbCuSnOs
Source: Alexandria
Functional: GGA-PBE
Structure: relaxed

Cell: 3.0810 4.5418 4.7487 Å, 90.00 90.00 90.00°
With the nearest neighbours (Å) after each atom.
Positions (direct):
Nb1 0.0000 0.5000 0.8554  4 Os 2.71-2.96, 4 Cu 2.82, 2 Sn 2.91
Os1 0.5000 0.5000 0.3237  4 Nb 2.71-2.96, 2 Cu 2.77, 4 Sn 2.83
Sn1 0.0000 0.0000 0.4711  4 Cu 2.75-2.91, 4 Os 2.83, 2 Nb 2.91, 2 Sn 3.08
Cu1 0.5000 0.0000 0.9907  4 Sn 2.75-2.91, 2 Os 2.77, 4 Nb 2.82, 2 Cu 3.08

total magnetization: 0.0 μB/f.u.
SG: Pmm2 (25)



Version three
Compound: NbCuSnOs
Source: Alexandria
Functional: GGA-PBE
Structure: relaxed

Cell: 4.0816 4.0816 7.8570 Å, 90.00 90.00 90.00°
With the nearest neighbours (Å) after each atom.
Positions (direct):
Sn1 0.5000 0.5000 0.5000  4 Nb 2.83, 4 Cu 2.83, 4 Os 2.89
Cu1 0.0000 0.5000 0.7500  4 Sn 2.83, 4 Os 2.83, 4 Nb 2.89
Nb1 0.5000 0.0000 0.7500  4 Sn 2.83, 4 Os 2.83, 4 Cu 2.89
Os1 0.0000 0.0000 0.5000  4 Nb 2.83, 4 Cu 2.83, 4 Sn 2.89
Os2 0.5000 0.5000 0.0000  4 Nb 2.83, 4 Cu 2.83, 4 Sn 2.89
Nb2 0.0000 0.5000 0.2500  4 Sn 2.83, 4 Os 2.83, 4 Cu 2.89
Sn2 0.0000 0.0000 0.0000  4 Nb 2.83, 4 Cu 2.83, 4 Os 2.89
Cu2 0.5000 0.0000 0.2500  4 Sn 2.83, 4 Os 2.83, 4 Nb 2.89

total magnetization: 0.0 μB/f.u.
SG: I-4m2 (119)



Version four
Compound: NbCuSnOs
Source: Alexandria
Functional: GGA-PBE
Structure: relaxed

Cell: 4.1009 4.3003 3.7914 Å, 90.00 90.00 90.00°
With the nearest neighbours (Å) after each atom.
Positions (direct):
Sn1 0.5000 0.0000 0.1762  4 Cu 2.67-2.93, 4 Os 2.79-2.94, 4 Nb 2.98
Os1 0.5000 0.5000 0.7057  2 Nb 2.61, 2 Sn 2.79
Cu1 0.0000 0.0000 0.6254  4 Sn 2.67-2.93, 4 Nb 2.85-2.89
Nb1 0.0000 0.5000 0.1337  2 Os 2.61, 4 Cu 2.85-2.89

total magnetization: 0.0 μB/f.u.
SG: Pmm2 (25)



The energy of each structure relative to the most stable one, in kJ/mol of atoms, is as follows: version one 0.0; version two 12.4; version three 10.4; version four 14.9.



Version one
Compound: NbCuSnOs
Source: Alexandria
Functional: GGA-PBE
Structure: relaxed

Cell: 4.3227 3.0926 10.0906 Å, 90.00 90.00 90.00°
With the nearest neighbours (Å) after each atom.
Positions (direct):
Cu1 0.5000 0.0000 0.9637  2 Os 2.67, 3 Nb 2.69-2.82, 4 Sn 2.77
Nb1 0.5000 0.0000 0.2301  3 Cu 2.69-2.82, 4 Os 2.77
Cu2 0.5000 0.5000 0.4637  2 Os 2.67, 3 Nb 2.69-2.82, 4 Sn 2.77
Os1 0.0000 0.5000 0.3083  2 Cu 2.67, 3 Sn 2.71-2.80, 4 Nb 2.77
Sn1 0.0000 0.5000 0.0395  3 Os 2.71-2.80, 4 Cu 2.77
Os2 0.0000 0.0000 0.8083  2 Cu 2.67, 3 Sn 2.71-2.80, 4 Nb 2.77
Nb2 0.5000 0.5000 0.7301  3 Cu 2.69-2.82, 4 Os 2.77
Sn2 0.0000 0.0000 0.5395  3 Os 2.71-2.80, 4 Cu 2.77

total magnetization: 0.0 μB/f.u.
SG: Amm2 (38)



Version two
Compound: NbCuSnOs
Source: Alexandria
Functional: GGA-PBE
Structure: relaxed

Cell: 3.1793 3.6089 5.9047 Å, 90.00 90.00 90.00°
With the nearest neighbours (Å) after each atom.
Positions (direct):
Sn1 0.0000 0.0000 0.0309  4 Cu 2.80, 2 Nb 2.93-2.97, 4 Os 2.98
Nb1 0.0000 0.0000 0.5345  4 Os 2.69, 4 Cu 2.83, 2 Sn 2.93-2.97
Os1 0.5000 0.5000 0.3286  4 Nb 2.69, 1 Cu 2.72, 4 Sn 2.98
Cu1 0.5000 0.5000 0.7886  1 Os 2.72, 4 Sn 2.80, 4 Nb 2.83

total magnetization: 0.0 μB/f.u.
SG: Pmm2 (25)



The energy of each structure relative to the most stable one, in kJ/mol of atoms, is as follows: version one 6.0; version two 0.0.



Version one
Compound: NbCuSnOs
Source: Alexandria
Functional: GGA-PBE
Structure: relaxed

Cell: 4.6417 3.1031 10.1783 Å, 90.00 114.89 90.00°
With the nearest neighbours (Å) after each atom.
Positions (direct):
Os1 0.5368 0.0000 0.9064  4 Nb 2.76-2.83, 3 Cu 2.78-3.01, 3 Sn 2.80-2.87
Sn1 0.6693 0.5000 0.1548  4 Cu 2.72-2.87, 3 Os 2.80-2.87, 3 Nb 2.91-2.94
Sn2 0.6693 0.0000 0.6548  4 Cu 2.72-2.87, 3 Os 2.80-2.87, 3 Nb 2.91-2.94
Nb1 0.0371 0.0000 0.4175  4 Os 2.76-2.83, 3 Cu 2.82-2.84, 3 Sn 2.91-2.94
Cu1 0.1637 0.5000 0.6695  4 Sn 2.72-2.87, 3 Os 2.78-3.01, 3 Nb 2.82-2.84
Nb2 0.0371 0.5000 0.9175  4 Os 2.76-2.83, 3 Cu 2.82-2.84, 3 Sn 2.91-2.94
Os2 0.5368 0.5000 0.4064  4 Nb 2.76-2.83, 3 Cu 2.78-3.01, 3 Sn 2.80-2.87
Cu2 0.1637 0.0000 0.1695  4 Sn 2.72-2.87, 3 Os 2.78-3.01, 3 Nb 2.82-2.84

total magnetization: 0.0 μB/f.u.
SG: Cm (8)



Version two
Compound: NbCuSnOs
Source: Alexandria
Functional: GGA-PBE
Structure: relaxed

Cell: 3.1469 4.6596 4.9246 Å, 101.06 108.70 89.97°
With the nearest neighbours (Å) after each atom.
Positions (direct):
Os1 0.0334 0.9108 0.5749  2 Nb 2.64-2.65, 3 Sn 2.80-2.82, 3 Cu 2.81-2.84
Nb1 0.5392 0.4573 0.5886  2 Os 2.64-2.65, 3 Cu 2.72-2.81, 1 Sn 2.90
Cu1 0.2889 0.6665 0.0860  3 Nb 2.72-2.81, 4 Sn 2.74-2.88, 3 Os 2.81-2.84
Sn1 0.7796 0.1451 0.0678  4 Cu 2.74-2.88, 3 Os 2.80-2.82, 3 Nb 2.90-3.01

total magnetization: 0.0 μB/f.u.
SG: Cm (8)



The energy of each structure relative to the most stable one, in kJ/mol of atoms, is as follows: version one 2.0; version two 0.0.



Version one
Compound: NbCu3P
Source: Alexandria
Functional: GGA-PBE
Structure: relaxed

Cell: 4.2541 4.2541 4.2541 Å, 90.00 90.00 90.00°
With the nearest neighbours (Å) after each atom.
Positions (direct):
Cu1 0.0000 0.5000 0.0000  2 P 2.13
Cu2 0.5000 0.0000 0.0000  2 P 2.13
Cu3 0.0000 0.0000 0.5000  2 P 2.13
Nb1 0.5000 0.5000 0.5000  12 Cu 3.01
P1 0.0000 0.0000 0.0000  6 Cu 2.13

total magnetization: 0.0 μB/f.u.
SG: Pm-3m (221)



Version two
Compound: NbCu3P
Source: Alexandria
Functional: GGA-PBE
Structure: relaxed

Cell: 4.7376 4.7376 4.7376 Å, 90.00 90.00 90.00°
With the nearest neighbours (Å) after each atom.
Positions (direct):
Nb1 0.0000 0.0000 0.0000  6 Cu 2.37
Cu1 0.5000 0.0000 0.0000  2 Nb 2.37
Cu2 0.0000 0.5000 0.0000  2 Nb 2.37
P1 0.5000 0.5000 0.5000  12 Cu 3.35
Cu3 0.0000 0.0000 0.5000  2 Nb 2.37

total magnetization: 0.0 μB/f.u.
SG: Pm-3m (221)



The energy of each structure relative to the most stable one, in kJ/mol of atoms, is as follows: version one 0.0; version two 118.7.



Version one
Compound: PaNb2Cu
Source: Alexandria
Functional: GGA-PBE
Structure: relaxed

Cell: 3.6830 4.4800 4.4800 Å, 90.00 90.00 90.00°
With the nearest neighbours (Å) after each atom.
Positions (direct):
Cu1 0.5000 0.5000 0.5000  8 Nb 2.90, 4 Pa 3.17
Nb1 0.0000 0.5000 0.0000  4 Cu 2.90, 4 Pa 2.90, 4 Nb 3.17
Nb2 0.0000 0.0000 0.5000  4 Cu 2.90, 4 Pa 2.90, 4 Nb 3.17
Pa1 0.5000 0.0000 0.0000  8 Nb 2.90, 4 Cu 3.17

total magnetization: 0.0 μB/f.u.
SG: P4/mmm (123)



Version two
Compound: PaNb2Cu
Source: Alexandria
Functional: GGA-PBE
Structure: relaxed

Cell: 2.9471 2.9471 10.3052 Å, 81.78 81.78 60.00°
With the nearest neighbours (Å) after each atom.
Positions (direct):
Nb1 0.9054 0.9054 0.2839  3 Cu 2.78, 1 Pa 2.89, 6 Nb 2.95
Pa1 0.0000 0.0000 0.0000  2 Nb 2.89, 6 Pa 2.95
Cu1 0.5000 0.5000 0.5000  6 Nb 2.78, 6 Cu 2.95
Nb2 0.0946 0.0946 0.7161  3 Cu 2.78, 1 Pa 2.89, 6 Nb 2.95

total magnetization: 0.0 μB/f.u.
SG: R-3m (166)



The energy of each structure relative to the most stable one, in kJ/mol of atoms, is as follows: version one 0.0; version two 33.6.



Version one
Compound: Nb2CuPd8
Source: Alexandria
Functional: GGA-PBE
Structure: relaxed

Cell: 4.3481 7.4440 6.9617 Å, 122.32 108.20 90.00°
With the nearest neighbours (Å) after each atom.
Positions (direct):
Pd1 0.3479 0.5615 0.6958  3 Nb 2.63-2.76, 1 Cu 2.70, 3 Pd 2.75-2.79
Cu1 0.5000 0.0000 0.0000  8 Pd 2.65-2.70
Nb1 0.2072 0.7072 0.4144  10 Pd 2.63-2.76
Pd2 0.0000 0.3143 0.0000  2 Nb 2.65, 7 Pd 2.75-2.79
Pd3 0.3479 0.1343 0.6957  3 Nb 2.63-2.76, 1 Cu 2.70, 3 Pd 2.75-2.79
Pd4 0.1383 0.1383 0.2765  2 Cu 2.65, 2 Nb 2.75, 4 Pd 2.79
Pd5 0.6521 0.4385 0.3042  3 Nb 2.63-2.76, 1 Cu 2.70, 3 Pd 2.75-2.79
Pd6 0.8617 0.8617 0.7235  2 Cu 2.65, 2 Nb 2.75, 4 Pd 2.79
Pd7 0.0000 0.6857 0.0000  2 Nb 2.65, 7 Pd 2.75-2.79
Pd8 0.6521 0.8657 0.3043  3 Nb 2.63-2.76, 1 Cu 2.70, 3 Pd 2.75-2.79
Nb2 0.7928 0.2928 0.5856  10 Pd 2.63-2.76

total magnetization: 0.0 μB/f.u.
SG: Immm (71)



Version two
Compound: Nb2CuPd8
Source: Alexandria
Functional: GGA-PBE
Structure: relaxed

Cell: 4.6519 6.9599 7.1340 Å, 60.80 77.48 63.62°
With the nearest neighbours (Å) after each atom.
Positions (direct):
Pd1 0.6941 0.6103 0.0000  1 Cu 2.45, 3 Pd 2.56-2.71
Cu1 0.5000 0.0000 0.0000  4 Pd 2.45-2.58
Pd2 0.5000 0.2071 0.5858  1 Cu 2.58, 2 Nb 2.63
Pd3 0.8611 0.1030 0.2256  2 Nb 2.55-2.75, 3 Pd 2.69-2.81
Pd4 0.1389 0.8970 0.7744  2 Nb 2.55-2.75, 3 Pd 2.69-2.81
Pd5 0.3059 0.3897 0.0000  1 Cu 2.45, 3 Pd 2.56-2.71
Pd6 0.5000 0.7929 0.4142  1 Cu 2.58, 2 Nb 2.63
Nb1 0.0000 0.6946 0.6107  8 Pd 2.55-2.75
Nb2 0.0000 0.3054 0.3893  8 Pd 2.55-2.75
Pd7 0.1389 0.6714 0.2256  2 Nb 2.55-2.75, 3 Pd 2.69-2.81
Pd8 0.8611 0.3286 0.7744  2 Nb 2.55-2.75, 3 Pd 2.69-2.81

total magnetization: 0.0 μB/f.u.
SG: C2/m (12)



The energy of each structure relative to the most stable one, in kJ/mol of atoms, is as follows: version one 0.0; version two 12.1.